Here is a relaxed YAs crystal from Alexandria via LeMat-Bulk. Energies are from PBEsol.

CIF file:
```
data_YAs
_chemical_formula_sum 'Y4 As4'
_cell_length_a 5.747
_cell_length_b 5.747
_cell_length_c 5.747
_cell_angle_alpha 90.00
_cell_angle_beta 90.00
_cell_angle_gamma 90.00
_space_group_name_H-M_alt 'F m -3 m'
_space_group_IT_number 225
_space_group_name_Hall '-F 4 2 3'
loop_
_atom_site_label
_atom_site_type_symbol
_atom_site_fract_x
_atom_site_fract_y
_atom_site_fract_z
_atom_site_occupancy
Y1 Y 0.000 0.000 0.000 1
As1 As 0.000 0.000 0.500 1
```

Output
The raw total energy comes out at -0.5551 Ry/atom. As for the magnetic moment: 0.0 μB/cell. Its crystal system is cubic. For the formation energy, the calculation gives -3.18 eV/f.u.

=====

Here is a relaxed WCIO2 crystal from Alexandria via LeMat-Bulk. Energies are from PBEsol.

CIF file:
```
data_WCIO2
_chemical_formula_sum 'W1 C1 I1 O2'
_cell_length_a 3.771
_cell_length_b 3.771
_cell_length_c 5.749
_cell_angle_alpha 90.00
_cell_angle_beta 90.00
_cell_angle_gamma 90.00
_space_group_name_H-M_alt 'P 4/m m m'
_space_group_IT_number 123
_space_group_name_Hall '-P 4 2'
loop_
_atom_site_label
_atom_site_type_symbol
_atom_site_fract_x
_atom_site_fract_y
_atom_site_fract_z
_atom_site_occupancy
W1 W 0.000 0.000 0.000 1
C1 C 0.500 0.500 0.500 1
I1 I 0.000 0.000 0.500 1
O1 O 0.000 0.500 0.000 1
```

Output
The raw total energy comes out at -0.5115 Ry/atom. As for the magnetic moment: 1.3 μB/cell. Its crystal system is tetragonal.

=====

Here is a relaxed SrCa3Tl crystal from Alexandria via LeMat-Bulk. Energies are from PBEsol.

CIF file:
```
data_SrCa3Tl
_chemical_formula_sum 'Sr1 Ca3 Tl1'
_cell_length_a 6.011
_cell_length_b 6.011
_cell_length_c 6.011
_cell_angle_alpha 90.00
_cell_angle_beta 90.00
_cell_angle_gamma 90.00
_space_group_name_H-M_alt 'P m -3 m'
_space_group_IT_number 221
_space_group_name_Hall '-P 4 2 3'
loop_
_atom_site_label
_atom_site_type_symbol
_atom_site_fract_x
_atom_site_fract_y
_atom_site_fract_z
_atom_site_occupancy
Sr1 Sr 0.000 0.000 0.000 1
Ca1 Ca 0.000 0.500 0.500 1
Tl1 Tl 0.500 0.500 0.500 1
```

Output
The raw total energy comes out at -0.1651 Ry/atom. As for the magnetic moment: 0.1 μB/cell. Its crystal system is cubic. For the formation energy, the calculation gives -0.36 eV/f.u.

=====

Here is a relaxed Ni3PN crystal from Alexandria via LeMat-Bulk. Energies are from PBEsol.

CIF file:
```
data_Ni3PN
_chemical_formula_sum 'Ni3 P1 N1'
_cell_length_a 3.726
_cell_length_b 3.726
_cell_length_c 3.726
_cell_angle_alpha 90.00
_cell_angle_beta 90.00
_cell_angle_gamma 90.00
_space_group_name_H-M_alt 'P m -3 m'
_space_group_IT_number 221
_space_group_name_Hall '-P 4 2 3'
loop_
_atom_site_label
_atom_site_type_symbol
_atom_site_fract_x
_atom_site_fract_y
_atom_site_fract_z
_atom_site_occupancy
Ni1 Ni 0.000 0.000 0.500 1
P1 P 0.500 0.500 0.500 1
N1 N 0.000 0.000 0.000 1
```

Output
The raw total energy comes out at -0.4827 Ry/atom. As for the magnetic moment: 0.0 μB/cell. Its crystal system is cubic.

=====

Here is a relaxed AsPd3O crystal from Alexandria via LeMat-Bulk. Energies are from PBEsol.

CIF file:
```
data_AsPd3O
_chemical_formula_sum 'As1 Pd3 O1'
_cell_length_a 4.172
_cell_length_b 4.172
_cell_length_c 4.172
_cell_angle_alpha 90.00
_cell_angle_beta 90.00
_cell_angle_gamma 90.00
_space_group_name_H-M_alt 'P m -3 m'
_space_group_IT_number 221
_space_group_name_Hall '-P 4 2 3'
loop_
_atom_site_label
_atom_site_type_symbol
_atom_site_fract_x
_atom_site_fract_y
_atom_site_fract_z
_atom_site_occupancy
As1 As 0.000 0.000 0.000 1
Pd1 Pd 0.000 0.500 0.500 1
O1 O 0.500 0.500 0.500 1
```

Output
The raw total energy comes out at -0.4108 Ry/atom. As for the magnetic moment: 0.0 μB/cell. Its crystal system is cubic.

=====

Here is a relaxed Ba6In2NF crystal from Alexandria via LeMat-Bulk. Energies are from PBEsol.

CIF file:
```
data_Ba6In2NF
_chemical_formula_sum 'Ba24 In8 N4 F4'
_cell_length_a 11.045
_cell_length_b 11.045
_cell_length_c 11.045
_cell_angle_alpha 90.00
_cell_angle_beta 90.00
_cell_angle_gamma 90.00
_space_group_name_H-M_alt 'F m -3 m'
_space_group_IT_number 225
_space_group_name_Hall '-F 4 2 3'
loop_
_atom_site_label
_atom_site_type_symbol
_atom_site_fract_x
_atom_site_fract_y
_atom_site_fract_z
_atom_site_occupancy
Ba1 Ba 0.000 0.000 0.243 1
In1 In 0.250 0.250 0.250 1
N1 N 0.000 0.000 0.000 1
F1 F 0.000 0.000 0.500 1
```

Output
The raw total energy comes out at -0.2840 Ry/atom. As for the magnetic moment: 0.0 μB/cell. Its crystal system is cubic.

=====

Here is a relaxed ScFeMo2 crystal from Alexandria via LeMat-Bulk. Energies are from PBEsol.

CIF file:
```
data_ScFeMo2
_chemical_formula_sum 'Sc1 Fe1 Mo2'
_cell_length_a 3.096
_cell_length_b 3.096
_cell_length_c 6.292
_cell_angle_alpha 90.00
_cell_angle_beta 90.00
_cell_angle_gamma 90.00
_space_group_name_H-M_alt 'P 4 m m'
_space_group_IT_number 99
loop_
_space_group_symop_operation_xyz
'x,y,z'
'-y,x,z'
'-x,-y,z'
'y,-x,z'
'-x,y,z'
'y,x,z'
'x,-y,z'
'-y,-x,z'
loop_
_atom_site_label
_atom_site_type_symbol
_atom_site_fract_x
_atom_site_fract_y
_atom_site_fract_z
_atom_site_occupancy
Sc1 Sc 0.000 0.000 0.000 1
Fe1 Fe 0.500 0.500 0.262 1
Mo1 Mo 0.000 0.000 0.482 1
Mo2 Mo 0.500 0.500 0.717 1
```

Output
The raw total energy comes out at -0.7125 Ry/atom. As for the magnetic moment: 0.8 μB/cell. As for the energy relative to the lowest polymorph listed for this composition: 0.001 eV/atom. Its crystal system is tetragonal. For the formation energy, the calculation gives 0.33 eV/f.u.

=====

Here is a relaxed LiInHg2 crystal from Alexandria via LeMat-Bulk. Energies are from PBEsol.

CIF file:
```
data_LiInHg2
_chemical_formula_sum 'Li1 In1 Hg2'
_cell_length_a 3.631
_cell_length_b 3.631
_cell_length_c 6.431
_cell_angle_alpha 90.00
_cell_angle_beta 90.00
_cell_angle_gamma 90.00
_space_group_name_H-M_alt 'P 4 m m'
_space_group_IT_number 99
loop_
_space_group_symop_operation_xyz
'x,y,z'
'-y,x,z'
'-x,-y,z'
'y,-x,z'
'-x,y,z'
'y,x,z'
'x,-y,z'
'-y,-x,z'
loop_
_atom_site_label
_atom_site_type_symbol
_atom_site_fract_x
_atom_site_fract_y
_atom_site_fract_z
_atom_site_occupancy
Li1 Li 0.000 0.000 0.000 1
In1 In 0.500 0.500 0.730 1
Hg1 Hg 0.000 0.000 0.468 1
Hg2 Hg 0.500 0.500 0.197 1
```

Output
The raw total energy comes out at -0.1266 Ry/atom. As for the magnetic moment: 0.0 μB/cell. Its crystal system is tetragonal. For the formation energy, the calculation gives -0.81 eV/f.u.

=====

Q: Which value of magnetic moment does entry 4 give?
A: 0.0 μB/cell

=====

Q: Which of these has the lowest raw total energy?
A: ScFeMo2